This record from the Alexandria database describes a relaxed Nd8Co3RhCl4 crystal. The functional is PBE.

Properties
For the volume, the calculation gives 417.6 Å³/cell. As for the raw formation energy: -923 meV/atom. The value obtained for the energy is -5.56 eV per atom. For the size of the total moment, the calculation gives 0.00 Bohr magnetons per cell.

a = 7.979 Å, b = 7.979 Å, c = 8.866 Å
α = 116.74°, β = 116.74°, γ = 60.00°
Atoms (fractional coordinates):
Nd 0.226 0.739 0.703
Nd 0.234 0.234 0.700
Nd 0.261 0.261 0.298
Nd 0.261 0.774 0.297
Nd 0.739 0.226 0.703
Nd 0.739 0.739 0.702
Nd 0.766 0.766 0.300
Nd 0.774 0.261 0.297
Co 0.000 0.000 0.500
Co 0.000 0.500 0.500
Co 0.500 0.000 0.500
Rh 0.500 0.500 0.500
Cl 0.000 0.000 0.000
Cl 0.000 0.500 0.000
Cl 0.500 0.000 0.000
Cl 0.500 0.500 0.000